# 1
# Ge3PdF, optimized geometry, DFT PBE
# Calculated density, g/cm3: 4.92
# Formation energy (no corrections), eV/atom: 0.064
# Electronic total energy, eV/atom: -4.120
# Offset from the most stable computed form, meV/atom: 76.0
data_Ge3PdF
_chemical_formula_sum 'Ge3 Pd1 F1'
_cell_length_a 4.8745
_cell_length_b 4.8745
_cell_length_c 4.8745
_cell_angle_alpha 90.00
_cell_angle_beta 90.00
_cell_angle_gamma 90.00
_space_group_name_H-M_alt 'P m -3 m'
_space_group_IT_number 221
_space_group_name_Hall '-P 4 2 3'
loop_
_atom_site_label
_atom_site_fract_x
_atom_site_fract_y
_atom_site_fract_z
Ge1 0.0000 0.0000 0.5000
Pd1 0.0000 0.0000 0.0000
F1 0.5000 0.5000 0.5000

# 2
# LaICl2, optimized geometry, DFT PBE
# Calculated density, g/cm3: 3.04
# Formation energy (no corrections), eV/atom: -0.731
# Electronic total energy, eV/atom: -3.273
# Offset from the most stable computed form, meV/atom: 1357.3
data_LaICl2
_chemical_formula_sum 'La3 I3 Cl6'
_cell_length_a 3.9984
_cell_length_b 3.9984
_cell_length_c 39.7910
_cell_angle_alpha 90.00
_cell_angle_beta 90.00
_cell_angle_gamma 120.00
_space_group_name_H-M_alt 'R -3 m'
_space_group_IT_number 166
_space_group_name_Hall '-R 3 2"'
loop_
_atom_site_label
_atom_site_fract_x
_atom_site_fract_y
_atom_site_fract_z
La1 0.0000 0.0000 0.0000
I1 0.0000 0.0000 0.5000
Cl1 0.0000 0.0000 0.0640

# 3
# GdPdRh4, optimized geometry, DFT PBE
# Calculated density, g/cm3: 11.03
# Electronic total energy, eV/atom: -8.386
data_GdPdRh4
_chemical_formula_sum 'Gd4 Pd4 Rh16'
_cell_length_a 7.4088
_cell_length_b 7.4088
_cell_length_c 7.4088
_cell_angle_alpha 90.00
_cell_angle_beta 90.00
_cell_angle_gamma 90.00
_space_group_name_H-M_alt 'F -4 3 m'
_space_group_IT_number 216
_space_group_name_Hall 'F -4 2 3'
loop_
_atom_site_label
_atom_site_fract_x
_atom_site_fract_y
_atom_site_fract_z
Gd1 0.0000 0.0000 0.0000
Pd1 0.2500 0.2500 0.7500
Rh1 0.1246 0.1246 0.3754

Question: Look up the electronic total energy of the first one.
Answer: -4.120 eV/atom

Question: Which value of calculated density does entry 2 give?
Answer: 3.04 g/cm3